Li2FeSiO4 | GGA+U | relaxed

The structure in extended XYZ format:
```
32
Lattice="10.8067 0.0000 0.0000 0.0000 6.3592 0.0000 0.0000 0.0000 5.1182" Properties=species:S:1:pos:R:3 pbc="T T T"
Li 1.8240 0.0326 1.0707
Li 1.8240 3.1471 1.0707
Li 3.5793 3.2122 3.6298
Li 3.5793 6.3267 3.6298
Li 7.2274 0.0326 1.4884
Li 7.2274 3.1471 1.4884
Li 8.9827 3.2122 4.0475
Li 8.9827 6.3267 4.0475
Fe 0.8635 4.7694 4.0958
Fe 4.5398 1.5898 1.5367
Fe 6.2669 4.7694 3.5814
Fe 9.9432 1.5898 1.0223
Si 0.9124 1.5898 3.5634
Si 4.4910 4.7694 1.0044
Si 6.3157 1.5898 4.1138
Si 9.8943 4.7694 1.5547
O 0.6722 4.7694 1.0924
O 0.9786 1.5898 1.9097
O 1.6931 0.2456 4.1344
O 1.6931 2.9340 4.1344
O 3.7102 3.4252 1.5753
O 3.7102 6.1136 1.5753
O 4.4247 4.7694 4.4688
O 4.7311 1.5898 3.6515
O 6.0756 4.7694 1.4667
O 6.3820 1.5898 0.6494
O 7.0965 0.2456 3.5429
O 7.0965 2.9340 3.5429
O 9.1136 3.4252 0.9838
O 9.1136 6.1136 0.9838
O 9.8281 4.7694 3.2085
O 10.1345 1.5898 4.0258
```

LiFeSiO4 | GGA+U | relaxed

The structure in extended XYZ format:
```
56
Lattice="5.7944 0.0000 0.0000 0.0000 7.4979 0.0000 0.0000 0.0000 16.2275" Properties=species:S:1:pos:R:3 pbc="T T T"
Li 0.3635 1.6901 3.6406
Li 0.3635 2.0588 11.7544
Li 2.5337 5.4391 3.6406
Li 2.5337 5.8077 11.7544
Li 3.2607 1.6901 4.4731
Li 3.2607 2.0588 12.5869
Li 5.4308 5.4391 4.4731
Li 5.4308 5.8077 12.5869
Fe 0.5612 5.1043 7.6084
Fe 0.5612 6.1425 15.7222
Fe 2.3360 1.3554 7.6084
Fe 2.3360 2.3936 15.7222
Fe 3.4584 5.1043 0.5054
Fe 3.4584 6.1425 8.6191
Fe 5.2332 1.3554 0.5054
Fe 5.2332 2.3936 8.6191
Si 0.5699 4.0475 1.8470
Si 0.5699 7.1993 9.9608
Si 2.3273 0.2986 1.8470
Si 2.3273 3.4504 9.9608
Si 3.4671 4.0475 6.2667
Si 3.4671 7.1993 14.3805
Si 5.2245 0.2986 6.2667
Si 5.2245 3.4504 14.3805
O 0.1707 4.9169 14.2969
O 0.1707 6.3299 6.1831
O 0.3767 1.3006 7.2420
O 0.3767 2.4483 15.3557
O 0.8526 4.6625 3.2848
O 0.8526 6.5843 11.3986
O 0.9240 0.1424 0.9135
O 0.9240 3.6066 9.0272
O 1.9731 3.8913 0.9135
O 1.9731 7.3555 9.0272
O 2.0446 0.9136 3.2848
O 2.0446 2.8354 11.3986
O 2.5205 5.0496 7.2420
O 2.5205 6.1972 15.3557
O 2.7265 1.1680 14.2969
O 2.7265 2.5809 6.1831
O 3.0678 4.9169 10.0444
O 3.0678 6.3299 1.9307
O 3.2739 1.3006 0.8718
O 3.2739 2.4483 8.9856
O 3.7498 4.6625 4.8289
O 3.7498 6.5843 12.9427
O 3.8212 0.1424 7.2003
O 3.8212 3.6066 15.3141
O 4.8703 3.8913 7.2003
O 4.8703 7.3555 15.3141
O 4.9418 0.9136 4.8289
O 4.9418 2.8354 12.9427
O 5.4177 5.0496 0.8718
O 5.4177 6.1972 8.9856
O 5.6237 1.1680 10.0444
O 5.6237 2.5809 1.9307
```

LiFeSiO4 | GGA+U | relaxed

The structure in extended XYZ format:
```
42
Lattice="6.9801 4.0300 3.1095 -6.9801 4.0300 3.1095 0.0000 -8.0600 3.1095" Properties=species:S:1:pos:R:3 pbc="T T T"
Li -5.4311 1.7326 3.1095
Li 1.2151 -5.5697 3.1095
Li -1.1775 -2.5653 4.6387
Li -1.6329 2.3024 4.6387
Li 2.8104 0.2629 4.6387
Li 4.2160 3.8372 3.1095
Fe -4.1607 -3.8568 4.6454
Fe -2.8691 -0.2325 3.1001
Fe 1.6359 -2.3684 3.1001
Fe 1.2332 2.6010 3.1001
Fe -1.2597 5.5317 4.6454
Fe 5.4205 -1.6749 4.6454
Si -1.5882 -5.6937 4.6606
Si -4.1368 4.2223 4.6606
Si -2.8443 -0.1619 6.2148
Si 1.5623 -2.3823 6.2148
Si 1.2820 2.5442 6.2148
Si 5.7250 1.4714 4.6606
O -2.3027 -4.2067 4.6687
O -0.2439 -2.5603 2.8536
O -2.0953 1.4914 2.8536
O -4.6458 -3.1657 6.3513
O -4.7536 2.6967 4.7434
O 0.0414 -5.4651 4.7434
O -2.3431 -0.8974 4.8204
O -4.4888 -0.0362 6.2196
O -2.4917 4.0975 4.6687
O 2.3393 1.0689 2.8536
O -0.0712 -2.6258 6.2817
O -2.2384 1.3745 6.2817
O 1.9487 -1.5805 4.8204
O -2.3169 -0.9705 7.5434
O 0.3944 2.4779 4.8204
O 2.2758 -3.8694 6.2196
O 4.7944 0.1091 4.6687
O -0.4186 5.6063 6.3513
O 1.9989 -1.5213 7.5434
O 2.3096 1.2512 6.2817
O 0.3180 2.4918 7.5434
O 5.0645 -2.4406 6.3513
O 4.7122 2.7684 4.7434
O 2.2131 3.9056 6.2196
```

Li2FeSiO4 | GGA+U | relaxed

The structure in extended XYZ format:
```
16
Lattice="6.3391 0.0000 0.0000 0.0000 5.4082 0.0000 0.0000 0.0000 5.0145" Properties=species:S:1:pos:R:3 pbc="T T T"
Li 1.5828 0.9090 0.0000
Li 1.5867 4.4992 2.5073
Li 4.7562 0.9090 0.0000
Li 4.7524 4.4992 2.5073
Fe 0.0000 1.7791 2.5293
Fe 3.1695 3.6291 0.0221
Si 0.0000 3.6255 4.9740
Si 3.1695 1.7827 2.4667
O 0.0000 2.0406 0.4528
O 0.0000 3.6746 3.3237
O 1.3565 4.4038 0.5092
O 1.8130 1.0044 3.0164
O 3.1695 1.7336 0.8165
O 3.1695 3.3676 2.9600
O 4.5261 1.0044 3.0164
O 4.9825 4.4038 0.5092
```

LiFeSiO4 | GGA+U | relaxed

The structure in extended XYZ format:
```
28
Lattice="10.3744 0.0000 0.0000 0.0000 5.0883 0.0000 0.0000 0.0000 6.7366" Properties=species:S:1:pos:R:3 pbc="T T T"
Li 1.6303 0.9309 0.0000
Li 3.5569 3.4750 3.3683
Li 6.8175 1.6133 0.0000
Li 8.7441 4.1574 3.3683
Fe 1.6518 0.9292 3.3589
Fe 3.5354 3.4733 6.7272
Fe 6.8390 1.6149 3.3589
Fe 8.7226 4.1591 6.7272
Si 0.9549 3.4717 5.0484
Si 4.2323 0.9276 1.6801
Si 6.1421 4.1607 5.0484
Si 9.4195 1.6166 1.6801
O 0.6384 1.2367 1.7710
O 1.1818 1.8407 4.9599
O 1.6462 4.1517 3.7152
O 1.7491 4.0401 6.3770
O 3.4381 1.4960 3.0087
O 3.5410 1.6076 0.3469
O 4.0054 4.3849 1.5916
O 4.5488 3.7808 5.1393
O 5.8256 1.3074 1.7710
O 6.3690 0.7034 4.9599
O 6.8334 3.4807 3.7152
O 6.9363 3.5923 6.3770
O 8.6254 1.0482 3.0087
O 8.7283 0.9365 0.3469
O 9.1927 3.2475 1.5916
O 9.7361 3.8516 5.1393
```

Li2FeSiO4 | GGA+U | relaxed

The structure in extended XYZ format:
```
24
Lattice="5.0691 0.0000 0.0000 -2.5346 4.3900 0.0000 0.0000 0.0000 11.6399" Properties=species:S:1:pos:R:3 pbc="T T T"
Li -1.1200 2.9555 4.8197
Li 0.5350 1.9423 8.6997
Li 1.4145 1.4345 2.9402
Li 0.5850 3.8822 0.9398
Li 3.1195 0.5078 6.8201
Li 3.0696 2.4477 10.7001
Fe -1.3786 2.3877 1.9400
Fe 1.1560 2.0023 5.8199
Fe 2.7571 0.0000 9.6999
Si -2.0485 3.5482 7.7599
Si 0.4860 0.8418 0.0000
Si 4.0971 0.0000 3.8799
O -1.1461 2.9802 9.0223
O -0.0051 1.2688 4.3222
O -1.4332 3.7600 0.4423
O 1.1013 0.6300 7.3176
O 0.5267 1.9074 1.2624
O 1.3885 1.4098 10.3775
O 0.6194 3.8924 5.1423
O 3.1539 0.4976 2.6176
O 1.4383 3.7512 8.2022
O 2.5295 3.1212 3.4377
O 3.9729 0.6388 11.1976
O 3.0612 2.4826 6.4975
```

| no. | energy above the most stable polymorph in this dataset (meV per atom) | V (Å³ per atom) |
| --- | --- | --- |
| 1 | 4.5 | 11.0 |
| 2 | 77.6 | 12.6 |
| 3 | 0.0 | 12.5 |
| 4 | 0.0 | 10.7 |
| 5 | 16.1 | 12.7 |
| 6 | 47.3 | 10.8 |